[1]
{"formula": "La2YNi2B2N3", "functional": "PBE", "state": "relaxed", "e_tot_ev_per_cell": -76.51, "magmom_total_mub_per_cell": 0.0, "lattice_angstrom": [[-5.573, -8.504, 0.846], [-9.064, -4.643, 0.611], [7.254, 6.357, -3.324]], "species": ["La", "La", "N", "N", "N", "B", "B", "Y", "Ni", "Ni"], "fractional_positions": [[0.373, 0.373, 0.000], [0.627, 0.627, 0.000], [0.879, 0.879, 0.000], [0.121, 0.121, 0.000], [0.500, 0.500, 0.000], [0.195, 0.195, 0.000], [0.805, 0.805, 0.000], [0.000, 0.000, 0.000], [0.750, 0.250, 0.500], [0.250, 0.750, 0.500]]}

[2]
{"formula": "LaPrB2Os2N2", "functional": "PBE", "state": "relaxed", "e_tot_ev_per_cell": -68.95, "magmom_total_mub_per_cell": 0.0, "lattice_angstrom": [[3.753, 0.000, 0.000], [0.000, 3.753, 0.000], [0.000, 0.000, 7.975]], "species": ["La", "Os", "Os", "B", "B", "N", "N", "Pr"], "fractional_positions": [[0.000, 0.000, 0.836], [0.500, 0.000, 0.499], [0.000, 0.500, 0.499], [0.500, 0.500, 0.663], [0.000, 0.000, 0.338], [0.000, 0.000, 0.150], [0.500, 0.500, 0.850], [0.500, 0.500, 0.166]]}

[3]
{"formula": "LaPr2B2N4", "functional": "PBE", "state": "relaxed", "e_tot_ev_per_cell": -72.84, "magmom_total_mub_per_cell": 0.0, "lattice_angstrom": [[-1.795, 3.171, 5.450], [1.795, -3.171, 5.450], [1.795, 3.171, -5.450]], "species": ["La", "B", "B", "N", "N", "N", "N", "Pr", "Pr"], "fractional_positions": [[0.000, 0.000, 0.000], [0.358, 0.500, 0.858], [0.642, 0.500, 0.142], [0.126, 0.381, 0.745], [0.636, 0.381, 0.255], [0.874, 0.619, 0.255], [0.364, 0.619, 0.745], [0.299, 0.799, 0.500], [0.701, 0.201, 0.500]]}

[4]
{"formula": "La2PrB2N4", "functional": "PBE", "state": "relaxed", "e_tot_ev_per_cell": -73.06, "magmom_total_mub_per_cell": 0.0, "lattice_angstrom": [[1.679, 6.172, 1.565], [-5.233, 3.940, 0.672], [3.409, -5.206, 2.153]], "species": ["B", "B", "N", "N", "N", "N", "La", "La", "Pr"], "fractional_positions": [[0.358, 0.500, 0.858], [0.642, 0.500, 0.142], [0.638, 0.382, 0.256], [0.874, 0.618, 0.256], [0.362, 0.618, 0.744], [0.126, 0.382, 0.744], [0.701, 0.201, 0.500], [0.299, 0.799, 0.500], [0.000, 0.000, 0.000]]}